[1]
PBE Na4SiTe5, relaxed; formation energy (no corrections) = -0.433 eV per atom
1.0
-0.346 -4.552 -4.840
1.098 -7.323 2.236
-7.030 -2.958 -1.287
Na Si Te
4 1 5
Direct
0.416 0.380 0.785
0.796 0.785 0.620
0.200 0.215 0.380
0.580 0.620 0.215
0.090 0.000 0.000
0.914 0.323 0.828
0.237 0.828 0.677
0.742 0.172 0.323
0.065 0.677 0.172
0.469 0.000 0.000



[2]
PBE CeGaSnAu, relaxed; energy of formation from the pure elements = -0.496 eV per atom
1.0
-3.118 2.319 -3.216
-4.920 -1.110 0.014
-3.340 3.369 1.713
Ga Au Sn Ce
1 1 1 1
Direct
0.500 0.500 0.500
0.000 0.000 0.000
0.250 0.250 0.250
0.750 0.750 0.750



[3]
PBE Ta2VNi6, relaxed; energy of formation from the pure elements = -0.158 eV per atom
1.0
5.470 0.000 0.000
0.000 4.283 -2.473
0.000 0.000 4.946
Ta V Ni
2 1 6
Direct
0.373 0.667 0.333
0.627 0.333 0.667
0.500 0.000 0.000
0.824 0.827 0.655
0.824 0.827 0.173
0.176 0.655 0.827
0.824 0.345 0.173
0.176 0.173 0.827
0.176 0.173 0.345



[4]
PBE Tb2Sm3In4, relaxed; excess energy over the best structure of this formula in the dataset = 0.0 meV per atom; energy of formation from the pure elements = -0.417 eV per atom
1.0
-4.167 -3.228 -0.930
0.819 -5.124 -1.289
-0.263 -2.544 10.003
Tb Sm In
2 3 4
Direct
0.333 0.333 0.778
0.667 0.667 0.222
0.333 0.333 0.423
0.000 0.000 0.000
0.667 0.667 0.577
0.667 0.667 0.900
0.000 0.000 0.346
0.000 0.000 0.654
0.333 0.333 0.100



One value per record, in order, for spin magnetization: 0.0; 0.4; 0.0; 0.0 μB/cell.
One value per record, in order, for final energy: -0.226; -0.335; -0.563; -0.311 Ry per atom.
One value per record, in order, for D(E_F): 7.8; 5.0; 9.3; 8.2 states/eV/f.u..